A relaxed structure of Ac2Er3Au4, computed with PBE.

Properties
* uncorrected energy: -4.66 eV per atom

a = 7.870 Å, b = 7.810 Å, c = 8.625 Å
α = 90.00°, β = 111.17°, γ = 90.00°
Atoms (fractional coordinates):
1 Ac 0.194 0.170 0.087
2 Ac 0.194 0.330 0.587
3 Ac 0.806 0.670 0.413
4 Ac 0.806 0.830 0.913
5 Er 0.250 0.650 0.250
6 Er 0.250 0.850 0.750
7 Er 0.500 0.000 0.500
8 Er 0.500 0.500 0.000
9 Er 0.750 0.150 0.250
10 Er 0.750 0.350 0.750
11 Au 0.100 0.553 0.879
12 Au 0.100 0.947 0.379
13 Au 0.483 0.638 0.621
14 Au 0.483 0.862 0.121
15 Au 0.517 0.138 0.879
16 Au 0.517 0.362 0.379
17 Au 0.900 0.053 0.621
18 Au 0.900 0.447 0.121